Computed, not measured: a relaxed LaScRhF2 crystal at the GGA-PBE level of DFT.

Output
Energy relative to the elements, uncorrected ... -4.1 eV/f.u.

```
LaScRhF2
1.0
4.5997 0.0000 0.0000
0.0000 4.7981 0.0000
0.0000 0.0000 4.5997
Sc F Rh La
1 2 1 1
direct
0.0000 0.5000 0.0000
0.0000 0.0000 0.5000
0.5000 0.0000 0.0000
0.0000 0.0000 0.0000
0.5000 0.5000 0.5000
```